Compound: MnFeAg
Source: the Alexandria database
Functional: PBE
Structure: relaxed

Values from the calculation:
total magnetization: 1.5 μB per cell
ρ: 7.0 g/cm³
energy of formation: 0.83 eV per atom
SG: F-43m (216)
calculated total energy: -6.002 eV per atom

Cell and atoms, written as extended XYZ:
```
3
Lattice="0.0000 2.9635 2.9635 2.9635 0.0000 2.9635 2.9635 2.9635 0.0000" Properties=species:S:1:pos:R:3 pbc="T T T"
Mn 0.0000 0.0000 0.0000
Fe 1.4818 1.4818 1.4818
Ag 2.9635 2.9635 2.9635
```